Here is an optimized crystal structure of Ba3RuF6 from the Alexandria database. Energies are from PBE.

Geometry as POSCAR:
```
Ba3RuF6
1.0
1.421 -6.208 0.068
4.372 0.640 -4.587
5.759 -0.073 3.544
Ba Ru F
3 1 6
Direct
0.000 0.500 0.000
0.500 0.000 0.000
0.000 0.000 0.500
0.000 0.000 0.000
0.152 0.771 0.216
0.848 0.229 0.784
0.732 0.732 0.771
0.268 0.268 0.229
0.771 0.152 0.216
0.229 0.848 0.784
```

Properties
final energy	-5.38	eV per atom
ΔE to the lowest computed polymorph	0.000	eV/atom
density	3.96	Mg/m³
uncorrected formation energy	-27.52	eV/f.u.

Here is an optimized crystal structure of LiTl3F from the Alexandria database. Energies are from PBE.

Geometry as POSCAR:
```
LiTl3F
1.0
-2.812 -0.382 -4.423
3.125 -3.889 -1.651
-3.153 -3.514 2.308
Tl Li F
3 1 1
Direct
0.000 0.500 0.000
0.000 0.000 0.500
0.500 0.000 0.000
0.500 0.500 0.500
0.000 0.000 0.000
```

Properties
final energy	-2.74	eV per atom
ΔE to the lowest computed polymorph	0.000	eV/atom
density	7.31	Mg/m³
uncorrected formation energy	-2.81	eV/f.u.

Here is an optimized crystal structure of Cs2SmF5 from the Alexandria database. Energies are from PBE.

Geometry as POSCAR:
```
Cs2SmF5
1.0
7.305 0.000 0.000
0.000 7.785 0.000
0.000 0.000 12.171
Cs Sm F
8 4 20
Direct
0.461 0.502 0.829
0.539 0.498 0.171
0.961 0.498 0.671
0.539 0.002 0.171
0.039 0.502 0.329
0.461 0.998 0.829
0.039 0.998 0.329
0.961 0.002 0.671
0.447 0.250 0.504
0.553 0.750 0.496
0.947 0.750 0.996
0.053 0.250 0.004
0.137 0.250 0.519
0.863 0.750 0.481
0.637 0.750 0.981
0.363 0.250 0.019
0.359 0.966 0.565
0.641 0.034 0.435
0.859 0.034 0.935
0.641 0.466 0.435
0.141 0.966 0.065
0.359 0.534 0.565
0.141 0.534 0.065
0.859 0.466 0.935
0.142 0.250 0.824
0.858 0.750 0.176
0.642 0.750 0.676
0.358 0.250 0.324
0.615 0.250 0.659
0.385 0.750 0.341
0.115 0.750 0.841
0.885 0.250 0.159
```

Properties
final energy	-5.42	eV per atom
density	4.91	Mg/m³
uncorrected formation energy	-27.59	eV/f.u.

Here is an optimized crystal structure of VAg2Mo from the Alexandria database. Energies are from PBE.

Geometry as POSCAR:
```
VAg2Mo
1.0
0.000 3.232 3.232
3.232 0.000 3.232
3.232 3.232 0.000
Mo Ag V
1 2 1
Direct
0.500 0.500 0.500
0.250 0.250 0.250
0.750 0.750 0.750
0.000 0.000 0.000
```

Properties
final energy	-5.62	eV per atom
E_form	0.79	eV/atom
ΔE to the lowest computed polymorph	0.000	eV/atom
density	8.92	Mg/m³

Here is an optimized crystal structure of PmNdBe from the Alexandria database. Energies are from PBE.

Geometry as POSCAR:
```
PmNdBe
1.0
6.024 -0.793 0.000
-3.581 4.908 0.000
-1.221 -2.058 5.558
Pm Nd Be
2 2 2
Direct
0.658 0.342 0.000
0.342 0.658 0.000
0.843 0.843 0.686
0.157 0.157 0.314
0.750 0.250 0.500
0.250 0.750 0.500
```

Properties
final energy	-4.22	eV per atom
E_form	0.19	eV/atom
ΔE to the lowest computed polymorph	0.050	eV/atom
density	6.67	Mg/m³

Here is an optimized crystal structure of MgCoSi2 from the Alexandria database. Energies are from PBE.

Geometry as POSCAR:
```
MgCoSi2
1.0
-2.490 -0.958 1.533
1.802 -1.519 1.978
0.277 4.916 3.522
Co Mg Si
1 1 2
Direct
0.000 0.000 0.428
0.500 0.500 0.743
0.000 0.000 0.043
0.500 0.500 0.285
```

Properties
final energy	-4.94	eV per atom
density	4.04	Mg/m³
uncorrected formation energy	-0.23	eV/f.u.

> The lowest density belongs to which entry?

Ba3RuF6

> density of number 4 (VAg2Mo)?

8.92 Mg/m³